[1]
12
Lattice="7.5742 0.0000 0.0000 -0.1828 8.3018 0.0000 -0.0471 -0.0246 10.3082" Properties=species:S:1:pos:R:3 comment="RbPaIn2I8, relaxed, DFT PBE-GGA" raw_formation_energy_ev_per_fu=-10.2 m_tot_mub_per_fu=0.0 pbc="T T T"
Rb 0.0000 0.0000 0.0000
Pa -0.0235 -0.0123 5.1541
In 3.6555 4.1260 7.9459
In 3.6888 4.1512 2.3622
I 1.3636 5.8089 5.1418
I 1.7893 1.1237 3.0872
I 1.7808 1.0966 7.2438
I 1.9499 5.3882 10.3050
I 5.3944 2.8891 0.0032
I 5.5634 7.1807 3.0643
I 5.5550 7.1535 7.2210
I 5.9806 2.4683 5.1663

---

[2]
14
Lattice="6.4165 0.0000 0.0000 0.0000 6.4165 0.0000 0.0000 0.0000 16.5978" Properties=species:S:1:pos:R:3 comment="In2PbI4, relaxed, DFT PBE-GGA" raw_formation_energy_ev_per_fu=-3.1 m_tot_mub_per_fu=0.0 pbc="T T T"
In 0.0000 0.0000 2.0201
In 0.0000 0.0000 14.5778
In 3.2082 3.2082 6.2789
In 3.2082 3.2082 10.3190
Pb 0.0000 0.0000 8.2989
Pb 3.2082 3.2082 0.0000
I 0.0000 0.0000 5.1273
I 0.0000 0.0000 11.4706
I 0.0000 3.2082 0.0000
I 0.0000 3.2082 8.2989
I 3.2082 0.0000 0.0000
I 3.2082 0.0000 8.2989
I 3.2082 3.2082 3.1716
I 3.2082 3.2082 13.4262

---

[3]
10
Lattice="9.0696 0.0000 0.0000 0.0000 9.0696 0.0000 0.0000 0.0000 3.9496" Properties=species:S:1:pos:R:3 comment="In2Pb2I, relaxed, DFT PBE-GGA" raw_formation_energy_ev_per_fu=0.0 m_tot_mub_per_fu=0.0 pbc="T T T"
In 1.4795 3.0552 0.0000
In 3.0552 7.5900 0.0000
In 6.0143 1.4795 0.0000
In 7.5900 6.0143 0.0000
Pb 1.2434 5.7782 1.9748
Pb 3.2914 1.2434 1.9748
Pb 5.7782 7.8261 1.9748
Pb 7.8261 3.2914 1.9748
I 0.0000 0.0000 1.9748
I 4.5348 4.5348 1.9748